No. 1
Entry from Alexandria via LeMat-Bulk: a geometry-optimized Y2Sc3Cu2 structure (PBE).

Cell: 3.459 6.217 8.232 Å, 72.45 77.87 73.85°
Fractional coordinates of all 7 atoms:
Cu1 0.165 0.902 0.768
Cu2 0.835 0.098 0.232
Sc1 0.617 0.211 0.556
Sc2 0.500 0.000 0.000
Sc3 0.383 0.789 0.444
Y1 0.851 0.492 0.806
Y2 0.149 0.508 0.194

**VASP energy**: -5.851 eV/atom
**ΔH_f (0 K)**: -120 meV/atom

***

No. 2
Entry from Alexandria via LeMat-Bulk: a geometry-optimized YSc2Cu2 structure (PBE).

Cell: 3.347 4.872 12.540 Å, 90.00 97.66 90.00°
Fractional coordinates of all 10 atoms:
Sc1 0.954 0.250 0.907
Sc2 0.768 0.250 0.536
Sc3 0.046 0.750 0.093
Sc4 0.232 0.750 0.464
Y1 0.858 0.750 0.716
Y2 0.142 0.250 0.284
Cu1 0.541 0.250 0.082
Cu2 0.459 0.750 0.918
Cu3 0.358 0.250 0.717
Cu4 0.642 0.750 0.283

**VASP energy**: -5.645 eV/atom
**ΔH_f (0 K)**: -181 meV/atom

***

> Which of these has the lowest ΔH_f (0 K)?

YSc2Cu2